Below is crystalline RbW3O9 at its relaxed geometry, with properties calculated at the PBEsol level.

Summary:
ΔE_f (raw) (kJ/mol of atoms): -212.79
ρ (g/cm³): 7.1
M_tot (μB/f.u.): 0.00
Space-group type: No. 191

a = 3.8223 Å, b = 7.4096 Å, c = 7.4096 Å
α = 120.00°, β = 90.00°, γ = 90.00°
Sites, in units of the cell vectors:
O 0.0000 0.5000 0.5000
W 0.5000 0.0000 0.5000
O 0.5000 0.7887 0.5774
O 0.5000 0.5774 0.7887
O 0.0000 0.0000 0.5000
O 0.0000 0.5000 0.0000
W 0.5000 0.5000 0.0000
O 0.5000 0.2113 0.4226
O 0.5000 0.7887 0.2113
O 0.5000 0.2113 0.7887
O 0.5000 0.4226 0.2113
Rb 0.0000 0.0000 0.0000
W 0.5000 0.5000 0.5000